{"formula": "KIr2Ru", "functional": "PBE-GGA", "state": "relaxed", "lattice": [[0.000, 3.248, 3.248], [3.248, 0.000, 3.248], [3.248, 3.248, 0.000]], "species": ["Ir", "Ru", "K", "Ir"], "fractional_positions": [[0.750, 0.750, 0.750], [0.500, 0.500, 0.500], [0.000, 0.000, 0.000], [0.250, 0.250, 0.250]], "formation_enthalpy_0k_ev_per_atom": 1.35, "rho_g_cm3": 12.7, "polymorph_energy_ev_per_fu": 3.52}